FeSiNO2 | PBE with a Hubbard U | relaxed

It has space group P4/mmm (No. 123), with a = 3.5361 Å, b = 3.5361 Å, c = 3.6604 Å, α = 90.00°, β = 90.00° and γ = 90.00°. Symmetry generates all atoms from Fe at (0.0000, 0.0000, 0.0000), Si at (0.5000, 0.5000, 0.5000), N at (0.5000, 0.5000, 0.0000) and O at (0.0000, 0.5000, 0.5000).

The total energy is -6.7571 eV/atom.